# Ba4YNb3O12 PBE-GGA optimized geometry
# - Mass density: 6.1 g/cm³
# - DFT total energy: -8.065 eV/atom
# - Uncorrected formation energy: -2.872 eV per atom
data_Ba4YNb3O12
_symmetry_space_group_name_H-M 'I m -3 m'
_symmetry_Int_Tables_number 229
_symmetry_space_group_name_Hall '-I 4 2 3'
_cell_length_a 8.437
_cell_length_b 8.437
_cell_length_c 8.437
_cell_angle_alpha 90.00
_cell_angle_beta 90.00
_cell_angle_gamma 90.00
loop_
_atom_site_label
_atom_site_type_symbol
_atom_site_fract_x
_atom_site_fract_y
_atom_site_fract_z
_atom_site_occupancy
Ba1 Ba 0.250 0.250 0.250 1
Y1 Y 0.000 0.000 0.000 1
Nb1 Nb 0.000 0.000 0.500 1
O1 O 0.000 0.000 0.263 1
O2 O 0.000 0.250 0.500 1